Here is a PBEsol-optimized structure of MnCo3Se from Alexandria via LeMat-Bulk. Energies are from SCAN.

Unit cell a=4.125 b=4.125 c=4.125 alpha=90.00 beta=90.00 gamma=90.00
Space group Pm-3m (No. 221)
Symmetry-distinct sites (fractional):
Mn 0.000 0.000 0.000 x1
Co 0.000 0.000 0.500 x3
Se 0.500 0.500 0.500 x1

Magnetic moment = 0.8691 μB/atom
E = -16.738 eV per atom

***

Here is a PBEsol-optimized structure of TlI from Alexandria via LeMat-Bulk. Energies are from SCAN.

Unit cell a=6.861 b=6.861 c=6.861 alpha=90.00 beta=90.00 gamma=90.00
Space group Fm-3m (No. 225)
Symmetry-distinct sites (fractional):
Tl 0.000 0.000 0.000 x4
I 0.000 0.000 0.500 x4

Magnetic moment = 0.0000 μB/atom
Excess energy over the best structure of this formula in the dataset = 0 meV/atom

***

Here is a PBEsol-optimized structure of KSr3 from Alexandria via LeMat-Bulk. Energies are from SCAN.

Unit cell a=6.914 b=6.914 c=4.599 alpha=90.00 beta=90.00 gamma=90.00
Space group P4/mmm (No. 123)
Symmetry-distinct sites (fractional):
K 0.000 0.000 0.000 x1
Sr 0.000 0.500 0.500 x2
Sr 0.500 0.500 0.000 x1

Magnetic moment = 0.0698 μB/atom
ΔH_f (0 K) = 0.096 eV/atom
Excess energy over the best structure of this formula in the dataset = 45 meV/atom